w | TaAsCl2: optimized geometry, PBE-GGA.

Values from the calculation:
V ... 18.983 Å³/atom
D(E_F) ... 3.3 states/eV/f.u.

Unit cell a=4.5541 b=4.0832 c=4.0832 alpha=90.00 beta=90.00 gamma=90.00
Closest atoms and distances in Å follow each position.
Fractional coordinates of all 4 atoms:
As: 0.5000 0.0000 0.5000  4 Ta 2.89, 8 Cl 3.06
Cl: 0.0000 0.0000 0.0000  4 Cl 2.89, 4 Ta 3.06, 4 As 3.06
Cl: 0.0000 0.5000 0.5000  4 Cl 2.89, 4 Ta 3.06, 4 As 3.06
Ta: 0.5000 0.5000 0.0000  4 As 2.89, 8 Cl 3.06

---

x | TaAsCl2: optimized geometry, PBE-GGA.

Values from the calculation:
V ... 26.427 Å³/atom
D(E_F) ... 3.1 states/eV/f.u.

Unit cell a=3.2377 b=3.2377 c=12.5934 alpha=90.00 beta=90.00 gamma=126.80
Closest atoms and distances in Å follow each position.
Fractional coordinates of all 4 atoms:
As: 0.5000 0.5000 0.7500  6 As 2.90-3.24
Cl: 0.0000 0.0000 0.0910  2 Ta 2.47
Cl: 0.0000 0.0000 0.4090  2 Ta 2.47
Ta: 0.5000 0.5000 0.2500  4 Cl 2.47

---

Which structure loses on stability? w does.

---

w | Zn2PBr: optimized geometry, PBE-GGA.

Values from the calculation:
V ... 26.946 Å³/atom
D(E_F) ... 1.7 states/eV/f.u.

Unit cell a=5.7831 b=5.7831 c=5.7831 alpha=143.76 beta=102.20 gamma=88.97
Closest atoms and distances in Å follow each position.
Fractional coordinates of all 4 atoms:
Zn: 0.2881 0.0000 0.2881  2 P 2.37
Zn: 0.7119 0.0000 0.7119  2 P 2.37
P: 0.5000 0.5000 0.0000  4 Zn 2.37
Br: 0.0000 0.5000 0.5000  4 Zn 2.76

---

x | Zn2PBr: optimized geometry, PBE-GGA.

Values from the calculation:
V ... 23.074 Å³/atom
D(E_F) ... 2.6 states/eV/f.u.

Unit cell a=7.5210 b=7.5210 c=7.5210 alpha=152.21 beta=152.21 gamma=39.71
Closest atoms and distances in Å follow each position.
Fractional coordinates of all 4 atoms:
Zn: 0.0000 0.0000 0.0000  4 Br 2.55
Zn: 0.2500 0.7500 0.5000  4 P 2.55
P: 0.7500 0.2500 0.5000  4 Zn 2.55
Br: 0.5000 0.5000 0.0000  4 Zn 2.55

---

Which structure loses on stability? x does.